No. 1
The following is a DFT calculation (PBE) of an optimized crystal structure of Ti7Br16.

a = 10.7479 Å, b = 15.5099 Å, c = 7.2562 Å
α = 90.00°, β = 90.00°, γ = 90.00°
Space group Pnnm (No. 58)
Inequivalent atoms, fractional coordinates:
Ti 0.0000 0.0000 0.0000
Ti 0.0455 0.2618 0.0000
Ti 0.2499 0.3589 0.1977
Br 0.0071 0.1302 0.2480
Br 0.0202 0.3726 0.2495
Br 0.2195 0.7504 0.0000
Br 0.2255 0.7243 0.5000
Br 0.2384 0.9906 0.5000
Br 0.2408 0.9785 0.0000

Output
Magnetic moment (μB per cell): 6.50
Uncorrected formation energy (eV per formula unit): -26.086


No. 2
The following is a DFT calculation (PBE) of an optimized crystal structure of KLiTl2Sn.

a = 5.3883 Å, b = 5.3883 Å, c = 5.2718 Å
α = 90.00°, β = 90.00°, γ = 90.00°
Space group P4/mmm (No. 123)
Inequivalent atoms, fractional coordinates:
K 0.0000 0.0000 0.0000
Li 0.5000 0.5000 0.5000
Tl 0.0000 0.5000 0.5000
Sn 0.5000 0.5000 0.0000

Output
Magnetic moment (μB per cell): 0.00
E_form (eV per formula unit): -0.2


No. 3
The following is a DFT calculation (PBE) of an optimized crystal structure of Sr2PaAuS5.

a = 4.1030 Å, b = 17.5266 Å, c = 12.5186 Å
α = 90.00°, β = 90.00°, γ = 90.00°
Space group Cmc2_1 (No. 36)
Inequivalent atoms, fractional coordinates:
Sr 0.0000 0.1002 0.0000
Sr 0.0000 0.1156 0.6418
Pa 0.0000 0.2069 0.3391
Au 0.0000 0.4365 0.7593
S 0.0000 0.0622 0.3763
S 0.0000 0.2833 0.9816
S 0.0000 0.2907 0.6976
S 0.0000 0.3568 0.3280
S 0.0000 0.4977 0.0882

Output
Magnetic moment (μB per cell): 0.25
Uncorrected formation energy (eV per formula unit): -13.918